Here is crystalline ZnGaP2 at its relaxed geometry from Alexandria via LeMat-Bulk. Energies are from PBEsol.

For the energy relative to the elements, the calculation gives -0.131 eV per atom.

The structure belongs to space group I-42d (No. 122); the cell edges are 5.418, 5.418 and 10.707 Å and the angles 90.00°, 90.00° and 90.00°. The asymmetric unit holds Zn at (0.000, 0.000, 0.000), Ga at (0.000, 0.000, 0.500) and P at (0.248, 0.250, 0.125).


Here is crystalline Al3Bi5Br12 at its relaxed geometry from Alexandria via LeMat-Bulk. Energies are from PBEsol.

The uncorrected formation energy comes out at -0.757 eV/atom.

The structure belongs to space group R-3c (No. 167, hexagonal axes); the cell edges are 12.1633, 12.1633 and 30.9291 Å and the angles 90.00°, 90.00° and 120.00°. The asymmetric unit holds Al at (0.0000, 0.4797, 0.2500), Bi at (0.0000, 0.0000, 0.1725), Bi at (0.0000, 0.1546, 0.7500), Br at (0.0095, 0.4161, 0.6891) and Br at (0.0562, 0.2163, 0.9058).


Here is crystalline Rb2InAu at its relaxed geometry from Alexandria via LeMat-Bulk. Energies are from PBEsol.

For the energy relative to the elements, the calculation gives -0.053 eV per atom.

The structure belongs to space group I-42d (No. 122); the cell edges are 12.501, 12.501 and 5.191 Å and the angles 90.00°, 90.00° and 90.00°. The asymmetric unit holds Rb at (0.084, 0.250, 0.125), In at (0.000, 0.000, 0.500) and Au at (0.000, 0.000, 0.000).


Here is crystalline Ba6Li7 at its relaxed geometry from Alexandria via LeMat-Bulk. Energies are from PBEsol.

For the energy relative to the elements, the calculation gives 0.042 eV per atom.

The structure belongs to space group R-3m (No. 166, hexagonal axes); the cell edges are 6.7463, 6.7463 and 37.5978 Å and the angles 90.00°, 90.00° and 120.00°. The asymmetric unit holds Ba at (0.0000, 0.0000, 0.0520), Ba at (0.0000, 0.0000, 0.1542), Ba at (0.0000, 0.0000, 0.3268), Li at (0.0000, 0.0000, 0.5000) and Li at (0.0134, 0.5067, 0.0965).